The following is a PBE-GGA calculation of crystalline Pu12Ge6Ir at its relaxed geometry, from Alexandria.

Output
Total moment ... 22.27 μB/f.u.
Total energy ... -11.065 eV/atom
Energy of formation ... -0.089 eV/atom

abc: 7.511 7.511 7.511
angles: 83.13 83.13 83.13
Each line ends with the local moment (μB).
Positions (direct):
Ge1 0.299 0.153 0.470  -0.01
Ge2 0.153 0.470 0.299  -0.01
Ge3 0.470 0.299 0.153  -0.01
Ge4 0.530 0.701 0.847  -0.01
Ge5 0.847 0.530 0.701  -0.01
Ge6 0.701 0.847 0.530  -0.01
Pu1 0.343 0.763 0.499  -1.12
Pu2 0.657 0.237 0.501  -1.12
Pu3 0.499 0.343 0.763  -1.12
Pu4 0.925 0.122 0.651  4.71
Pu5 0.763 0.499 0.343  -1.12
Pu6 0.237 0.501 0.657  -1.12
Pu7 0.349 0.075 0.878  4.71
Pu8 0.501 0.657 0.237  -1.12
Pu9 0.122 0.651 0.925  4.71
Pu10 0.075 0.878 0.349  4.71
Pu11 0.878 0.349 0.075  4.71
Pu12 0.651 0.925 0.122  4.71
Ir1 0.000 0.000 0.000  -0.31